1.
## KLi4Hg8 (GGA-PBE)

Data for an optimized crystal structure of KLi4Hg8.

Lattice parameters (Å, degrees): 9.9714 9.9714 5.9886 90.00 90.00 90.00
Last column: nearest neighbours and their distance in Å.
Space group I4/mmm (No. 139)
One atom of each set of equivalent atoms:
K 0.0000 0.0000 0.0000 [2 per cell]  12 Hg 3.38-3.70
Li 0.2500 0.2500 0.2500 [8 per cell]  8 Hg 2.93-3.04, 2 Li 2.99
Hg 0.0000 0.2180 0.5000 [8 per cell]  4 Li 2.93, 6 Hg 3.07-3.24
Hg 0.0000 0.3388 0.0000 [8 per cell]  4 Li 3.04, 5 Hg 3.21-3.24, 1 K 3.38

Summary:
Magnetic moment   0.00 Bohr magnetons per cell
DOS at the Fermi energy   0.371 states/eV/atom
ΔH_f (0 K)   -0.2575 eV per atom

2.
## As2IrCBr (GGA-PBE)

Data for an optimized crystal structure of As2IrCBr.

Lattice parameters (Å, degrees): 4.7339 4.7339 5.4030 90.00 90.00 90.00
Last column: nearest neighbours and their distance in Å.
Space group P4/mmm (No. 123)
One atom of each set of equivalent atoms:
As 0.0000 0.5000 0.0000 [2 per cell]  2 Ir 2.37
Ir 0.0000 0.0000 0.0000 [1 per cell]  4 As 2.37
C 0.5000 0.5000 0.5000 [1 per cell]  4 Br 3.35, 8 As 3.59
Br 0.0000 0.0000 0.5000 [1 per cell]  2 Ir 2.70

Summary:
Magnetic moment   1.25 Bohr magnetons per cell
DOS at the Fermi energy   1.091 states/eV/atom
E_form (uncorrected)   40.8 kcal/mol of atoms
E above lowest polymorph   0.324 eV/atom